# Ca2NiPb, relaxed, DFT GGA-PBE
# - size of the total moment (Bohr magnetons per cell) = 0.0
# - calculated density (Mg/m³) = 5.163
# - energy of formation (meV/atom) = -116
data_Ca2NiPb
_symmetry_space_group_name_H-M 'R -3 m'
_symmetry_Int_Tables_number 166
_symmetry_space_group_name_Hall '-R 3 2"'
_cell_length_a 3.8153
_cell_length_b 3.8153
_cell_length_c 26.4844
_cell_angle_alpha 90.00
_cell_angle_beta 90.00
_cell_angle_gamma 120.00
loop_
_atom_site_label
_atom_site_type_symbol
_atom_site_fract_x
_atom_site_fract_y
_atom_site_fract_z
Ca1 Ca 0.0000 0.0000 0.2323
Ni1 Ni 0.0000 0.0000 0.5000
Pb1 Pb 0.0000 0.0000 0.0000


# NdThCdPt, relaxed, DFT GGA-PBE
# - size of the total moment (Bohr magnetons per cell) = 0.0
# - calculated density (Mg/m³) = 11.019
# - energy of formation (meV/atom) = -517
data_NdThCdPt
_symmetry_space_group_name_H-M 'F -4 3 m'
_symmetry_Int_Tables_number 216
_symmetry_space_group_name_Hall 'F -4 2 3'
_cell_length_a 7.442
_cell_length_b 7.442
_cell_length_c 7.442
_cell_angle_alpha 90.00
_cell_angle_beta 90.00
_cell_angle_gamma 90.00
loop_
_atom_site_label
_atom_site_type_symbol
_atom_site_fract_x
_atom_site_fract_y
_atom_site_fract_z
Nd1 Nd 0.000 0.000 0.000
Th1 Th 0.000 0.000 0.500
Cd1 Cd 0.250 0.250 0.750
Pt1 Pt 0.250 0.250 0.250


# CePrPb2, relaxed, DFT GGA-PBE
# - size of the total moment (Bohr magnetons per cell) = 3.2
# - calculated density (Mg/m³) = 9.255
# - energy of formation (meV/atom) = -288
data_CePrPb2
_symmetry_space_group_name_H-M 'R -3 m'
_symmetry_Int_Tables_number 166
_symmetry_space_group_name_Hall '-R 3 2"'
_cell_length_a 3.6501
_cell_length_b 3.6501
_cell_length_c 32.4408
_cell_angle_alpha 90.00
_cell_angle_beta 90.00
_cell_angle_gamma 120.00
loop_
_atom_site_label
_atom_site_type_symbol
_atom_site_fract_x
_atom_site_fract_y
_atom_site_fract_z
Ce1 Ce 0.0000 0.0000 0.0000
Pr1 Pr 0.0000 0.0000 0.5000
Pb1 Pb 0.0000 0.0000 0.2505


# TiGa2Tc2, relaxed, DFT GGA-PBE
# - size of the total moment (Bohr magnetons per cell) = 0.4
# - relative energy among the computed polymorphs (meV/atom) = 167
# - calculated density (Mg/m³) = 8.159
# - energy of formation (meV/atom) = -85
data_TiGa2Tc2
_symmetry_space_group_name_H-M 'P 4/m b m'
_symmetry_Int_Tables_number 127
_symmetry_space_group_name_Hall '-P 4 2ab'
_cell_length_a 6.849
_cell_length_b 6.849
_cell_length_c 3.326
_cell_angle_alpha 90.00
_cell_angle_beta 90.00
_cell_angle_gamma 90.00
loop_
_atom_site_label
_atom_site_type_symbol
_atom_site_fract_x
_atom_site_fract_y
_atom_site_fract_z
Ti1 Ti 0.000 0.000 0.000
Ga1 Ga 0.148 0.352 0.500
Tc1 Tc 0.151 0.651 0.000


# Ti2CoSiS, relaxed, DFT GGA-PBE
# - size of the total moment (Bohr magnetons per cell) = 1.2
# - calculated density (Mg/m³) = 3.691
# - uncorrected formation energy (kJ/mol of atoms) = 81.9
data_Ti2CoSiS
_symmetry_space_group_name_H-M 'P 4/m m m'
_symmetry_Int_Tables_number 123
_symmetry_space_group_name_Hall '-P 4 2'
_cell_length_a 4.706
_cell_length_b 4.706
_cell_length_c 4.364
_cell_angle_alpha 90.00
_cell_angle_beta 90.00
_cell_angle_gamma 90.00
loop_
_atom_site_label
_atom_site_type_symbol
_atom_site_fract_x
_atom_site_fract_y
_atom_site_fract_z
Ti1 Ti 0.000 0.500 0.000
Co1 Co 0.000 0.000 0.500
Si1 Si 0.500 0.500 0.000
S1 S 0.500 0.500 0.500


# SmHoTh2, relaxed, DFT GGA-PBE
# - size of the total moment (Bohr magnetons per cell) = 0.0
# - relative energy among the computed polymorphs (meV/atom) = 139
# - calculated density (Mg/m³) = 10.021
# - energy of formation (meV/atom) = 169
data_SmHoTh2
_symmetry_space_group_name_H-M 'F m -3 m'
_symmetry_Int_Tables_number 225
_symmetry_space_group_name_Hall '-F 4 2 3'
_cell_length_a 8.024
_cell_length_b 8.024
_cell_length_c 8.024
_cell_angle_alpha 90.00
_cell_angle_beta 90.00
_cell_angle_gamma 90.00
loop_
_atom_site_label
_atom_site_type_symbol
_atom_site_fract_x
_atom_site_fract_y
_atom_site_fract_z
Sm1 Sm 0.000 0.000 0.000
Ho1 Ho 0.000 0.000 0.500
Th1 Th 0.250 0.250 0.250


# NaCeTm4O8, relaxed, DFT GGA-PBE
# - size of the total moment (Bohr magnetons per cell) = 2.9
# - calculated density (Mg/m³) = 7.237
# - uncorrected formation energy (kJ/mol of atoms) = -314.5
data_NaCeTm4O8
_symmetry_space_group_name_H-M 'R 3 m'
_symmetry_Int_Tables_number 160
_symmetry_space_group_name_Hall 'R 3 -2"'
_cell_length_a 6.7390
_cell_length_b 6.7390
_cell_length_c 16.9227
_cell_angle_alpha 90.00
_cell_angle_beta 90.00
_cell_angle_gamma 120.00
loop_
_atom_site_label
_atom_site_type_symbol
_atom_site_fract_x
_atom_site_fract_y
_atom_site_fract_z
Na1 Na 0.0000 0.0000 0.0000
Ce1 Ce 0.0000 0.0000 0.6252
Tm1 Tm 0.0000 0.0000 0.2480
Tm2 Tm 0.1705 0.3410 0.4561
O1 O 0.0000 0.0000 0.3802
O2 O 0.0000 0.0000 0.8559
O3 O 0.0418 0.5209 0.3830
O4 O 0.1720 0.3440 0.2002


# SbP2SN, relaxed, DFT GGA-PBE
# - size of the total moment (Bohr magnetons per cell) = 4.6
# - relative energy among the computed polymorphs (meV/atom) = 1145
# - calculated density (Mg/m³) = 2.774
# - uncorrected formation energy (kJ/mol of atoms) = 198.0
data_SbP2SN
_symmetry_space_group_name_H-M 'P 4/m m m'
_symmetry_Int_Tables_number 123
_symmetry_space_group_name_Hall '-P 4 2'
_cell_length_a 5.189
_cell_length_b 5.189
_cell_length_c 5.109
_cell_angle_alpha 90.00
_cell_angle_beta 90.00
_cell_angle_gamma 90.00
loop_
_atom_site_label
_atom_site_type_symbol
_atom_site_fract_x
_atom_site_fract_y
_atom_site_fract_z
Sb1 Sb 0.000 0.000 0.000
P1 P 0.000 0.500 0.000
S1 S 0.000 0.000 0.500
N1 N 0.500 0.500 0.500


# AlZn2SiRu, relaxed, DFT GGA-PBE
# - size of the total moment (Bohr magnetons per cell) = 1.4
# - calculated density (Mg/m³) = 4.955
# - uncorrected formation energy (kJ/mol of atoms) = 98.9
data_AlZn2SiRu
_symmetry_space_group_name_H-M 'P 4/m m m'
_symmetry_Int_Tables_number 123
_symmetry_space_group_name_Hall '-P 4 2'
_cell_length_a 4.471
_cell_length_b 4.471
_cell_length_c 4.810
_cell_angle_alpha 90.00
_cell_angle_beta 90.00
_cell_angle_gamma 90.00
loop_
_atom_site_label
_atom_site_type_symbol
_atom_site_fract_x
_atom_site_fract_y
_atom_site_fract_z
Al1 Al 0.000 0.000 0.000
Zn1 Zn 0.000 0.500 0.500
Si1 Si 0.000 0.000 0.500
Ru1 Ru 0.500 0.500 0.000


# ThH2Cl5, relaxed, DFT GGA-PBE
# - size of the total moment (Bohr magnetons per cell) = 2.0
# - calculated density (Mg/m³) = 2.806
# - uncorrected energy (eV for the cell shown) = -66.6
data_ThH2Cl5
_symmetry_space_group_name_H-M 'P 1 21/m 1'
_symmetry_Int_Tables_number 11
_cell_length_a 4.393
_cell_length_b 9.190
_cell_length_c 12.246
_cell_angle_alpha 90.00
_cell_angle_beta 100.10
_cell_angle_gamma 90.00
loop_
_symmetry_equiv_pos_as_xyz
'x,y,z'
'-x,-y,-z'
'-x,y+1/2,-z'
'x,-y+1/2,z'
loop_
_atom_site_label
_atom_site_type_symbol
_atom_site_fract_x
_atom_site_fract_y
_atom_site_fract_z
Th1 Th 0.083 0.250 0.189
H1 H 0.110 0.709 0.336
Cl1 Cl 0.020 0.750 0.025
Cl2 Cl 0.184 0.109 0.395
Cl3 Cl 0.425 0.563 0.828


# PrInS2O8, relaxed, DFT GGA-PBE
# - size of the total moment (Bohr magnetons per cell) = 0.0
# - calculated density (Mg/m³) = 3.618
# - uncorrected formation energy (kJ/mol of atoms) = -174.7
data_PrInS2O8
_symmetry_space_group_name_H-M 'P -3 m 1'
_symmetry_Int_Tables_number 164
_symmetry_space_group_name_Hall '-P 3 2"'
_cell_length_a 5.2893
_cell_length_b 5.2893
_cell_length_c 8.4845
_cell_angle_alpha 90.00
_cell_angle_beta 90.00
_cell_angle_gamma 120.00
loop_
_atom_site_label
_atom_site_type_symbol
_atom_site_fract_x
_atom_site_fract_y
_atom_site_fract_z
Pr1 Pr 0.0000 0.0000 0.0000
In1 In 0.0000 0.0000 0.5000
S1 S 0.3333 0.6667 0.1684
O1 O 0.1793 0.3586 0.2247
O2 O 0.3333 0.6667 0.9916


# La5TbPrCd2, relaxed, DFT GGA-PBE
# - size of the total moment (Bohr magnetons per cell) = 0.0
# - calculated density (Mg/m³) = 6.627
# - energy of formation (meV/atom) = 39
data_La5TbPrCd2
_symmetry_space_group_name_H-M 'I 4/m c m'
_symmetry_Int_Tables_number 140
_symmetry_space_group_name_Hall '-I 4 2c'
_cell_length_a 8.983
_cell_length_b 8.983
_cell_length_c 15.142
_cell_angle_alpha 90.00
_cell_angle_beta 90.00
_cell_angle_gamma 90.00
loop_
_atom_site_label
_atom_site_type_symbol
_atom_site_fract_x
_atom_site_fract_y
_atom_site_fract_z
La1 La 0.000 0.000 0.000
La2 La 0.205 0.295 0.130
Tb1 Tb 0.000 0.500 0.250
Pr1 Pr 0.000 0.000 0.250
Cd1 Cd 0.105 0.395 0.500


# Ce7Sb2Pb2, relaxed, DFT GGA-PBE
# - size of the total moment (Bohr magnetons per cell) = 16.5
# - calculated density (Mg/m³) = 7.454
# - uncorrected formation energy (kJ/mol of atoms) = -27.9
data_Ce7Sb2Pb2
_symmetry_space_group_name_H-M 'C m m m'
_symmetry_Int_Tables_number 65
_symmetry_space_group_name_Hall '-C 2 2'
_cell_length_a 9.236
_cell_length_b 11.530
_cell_length_c 6.857
_cell_angle_alpha 90.00
_cell_angle_beta 90.00
_cell_angle_gamma 90.00
loop_
_atom_site_label
_atom_site_type_symbol
_atom_site_fract_x
_atom_site_fract_y
_atom_site_fract_z
Ce1 Ce 0.000 0.000 0.000
Ce2 Ce 0.000 0.500 0.302
Ce3 Ce 0.250 0.250 0.304
Sb1 Sb 0.000 0.282 0.000
Pb1 Pb 0.167 0.000 0.500


# CsNaNbF6, relaxed, DFT GGA-PBE
# - size of the total moment (Bohr magnetons per cell) = 2.0
# - calculated density (Mg/m³) = 3.140
# - uncorrected formation energy (kJ/mol of atoms) = -284.4
data_CsNaNbF6
_symmetry_space_group_name_H-M 'P -3 1 c'
_symmetry_Int_Tables_number 163
_symmetry_space_group_name_Hall '-P 3 2c'
_cell_length_a 6.0422
_cell_length_b 6.0422
_cell_length_c 12.1362
_cell_angle_alpha 90.00
_cell_angle_beta 90.00
_cell_angle_gamma 120.00
loop_
_atom_site_label
_atom_site_type_symbol
_atom_site_fract_x
_atom_site_fract_y
_atom_site_fract_z
Cs1 Cs 0.0000 0.0000 0.0000
Na1 Na 0.3333 0.6667 0.2500
Nb1 Nb 0.3333 0.6667 0.7500
F1 F 0.0386 0.4005 0.6601


# La3Pr3Co4, relaxed, DFT GGA-PBE
# - size of the total moment (Bohr magnetons per cell) = 0.0
# - calculated density (Mg/m³) = 7.244
# - energy of formation (meV/atom) = 6
data_La3Pr3Co4
_symmetry_space_group_name_H-M 'A m m 2'
_symmetry_Int_Tables_number 38
_cell_length_a 4.280
_cell_length_b 10.693
_cell_length_c 10.769
_cell_angle_alpha 90.00
_cell_angle_beta 90.00
_cell_angle_gamma 90.00
loop_
_symmetry_equiv_pos_as_xyz
'x,y,z'
'-x,-y,z'
'-x,y,z'
'x,-y,z'
'x,y+1/2,z+1/2'
'-x,-y+1/2,z+1/2'
'-x,y+1/2,z+1/2'
'x,-y+1/2,z+1/2'
loop_
_atom_site_label
_atom_site_type_symbol
_atom_site_fract_x
_atom_site_fract_y
_atom_site_fract_z
La1 La 0.000 0.000 0.000
La2 La 0.000 0.172 0.673
Pr1 Pr 0.000 0.000 0.342
Pr2 Pr 0.500 0.245 0.423
Co1 Co 0.500 0.000 0.582
Co2 Co 0.500 0.000 0.793
Co3 Co 0.500 0.106 0.174